Material: LiNiSe2N
Method: DFT, SCAN
State: PBEsol geometry

Structure (POSCAR):
```
LiNiSe2N
1.0
-2.425 -1.457 1.706
-1.336 -2.194 -3.773
2.797 -3.459 1.021
Ni N Li Se
1 1 1 2
Cartesian
-0.482 -3.555 -0.523
-1.212 -0.728 0.853
0.000 0.000 0.000
-0.668 -1.097 -1.887
1.398 -1.730 0.511
```

DOS at the Fermi energy: 2.96 states/eV/f.u.
Total magnetic moment: 0.5 Bohr magnetons per cell
E_form (uncorrected): 5.64 eV per formula unit
E_tot: -12.47 eV/atom